{"formula": "MgCdOs2", "functional": "PBE", "state": "relaxed", "de_polymorph_ev_per_atom": 0.351, "delta_e_f_mev_per_atom": 470, "e_tot_ev_per_atom": -5.77, "dos_at_fermi_per_ev_cell": 2.641, "lattice": [[4.637, 0.000, 0.000], [0.000, 2.804, 0.004], [0.000, 0.532, 5.012]], "species": ["Cd", "Mg", "Os", "Os"], "frac_coords": [[0.500, 0.250, 0.250], [0.500, 0.750, 0.750], [0.000, 0.982, 0.974], [0.000, 0.518, 0.526]]}


{"formula": "MgCdOs2", "functional": "PBE", "state": "relaxed", "de_polymorph_ev_per_atom": 0.343, "delta_e_f_mev_per_atom": 461, "e_tot_ev_per_atom": -5.78, "dos_at_fermi_per_ev_cell": 3.509, "lattice": [[4.492, 0.000, 0.000], [2.246, 3.890, 0.000], [2.246, 1.297, 3.668]], "species": ["Cd", "Mg", "Os", "Os"], "frac_coords": [[0.500, 0.500, 0.500], [0.750, 0.750, 0.750], [0.000, 0.000, 0.000], [0.250, 0.250, 0.250]]}


{"formula": "Mg2CdOs", "functional": "PBE", "state": "relaxed", "delta_e_f_mev_per_atom": 234, "e_tot_ev_per_atom": -3.60, "dos_at_fermi_per_ev_cell": 1.790, "lattice": [[-0.056, -0.012, -2.804], [-1.916, -3.984, 0.055], [-5.164, 2.484, 0.092]], "species": ["Cd", "Mg", "Mg", "Os"], "frac_coords": [[0.500, 0.500, 0.750], [0.000, 0.000, 0.994], [0.500, 0.500, 0.278], [0.000, 0.000, 0.477]]}


{"formula": "MgCd2Os", "functional": "PBE", "state": "relaxed", "delta_e_f_mev_per_atom": 314, "e_tot_ev_per_atom": -3.35, "dos_at_fermi_per_ev_cell": 1.507, "lattice": [[-4.304, 2.119, 1.982], [-5.000, 1.246, -0.630], [-2.005, -4.338, 1.984]], "species": ["Cd", "Cd", "Mg", "Os"], "frac_coords": [[0.991, 0.991, 0.008], [0.509, 0.509, 0.492], [0.750, 0.750, 0.750], [0.250, 0.250, 0.250]]}


{"formula": "Mg2CdOs", "functional": "PBE", "state": "relaxed", "delta_e_f_mev_per_atom": 260, "e_tot_ev_per_atom": -3.57, "dos_at_fermi_per_ev_cell": 2.523, "lattice": [[4.646, 0.000, 0.000], [2.323, 4.023, 0.000], [2.323, 1.341, 3.793]], "species": ["Cd", "Mg", "Mg", "Os"], "frac_coords": [[0.500, 0.500, 0.500], [0.000, 0.000, 0.000], [0.250, 0.250, 0.250], [0.750, 0.750, 0.750]]}


{"formula": "MgCdOs2", "functional": "PBE", "state": "relaxed", "de_polymorph_ev_per_atom": 0.503, "delta_e_f_mev_per_atom": 621, "e_tot_ev_per_atom": -5.62, "dos_at_fermi_per_ev_cell": 6.374, "lattice": [[2.737, 0.000, 0.000], [0.000, 2.737, 0.000], [0.000, 0.000, 8.739]], "species": ["Cd", "Mg", "Os", "Os"], "frac_coords": [[0.500, 0.500, 0.250], [0.500, 0.500, 0.750], [0.000, 0.000, 0.992], [0.000, 0.000, 0.508]]}


{"formula": "Mg2CdOs", "functional": "PBE", "state": "relaxed", "delta_e_f_mev_per_atom": 168, "e_tot_ev_per_atom": -3.67, "dos_at_fermi_per_ev_cell": 2.880, "lattice": [[2.978, 0.000, 0.000], [0.000, 2.978, 0.000], [0.000, 0.000, 8.339]], "species": ["Cd", "Mg", "Mg", "Os"], "frac_coords": [[0.500, 0.500, 0.750], [0.000, 0.000, 0.039], [0.000, 0.000, 0.461], [0.500, 0.500, 0.250]]}


{"formula": "MgCd2Os", "functional": "PBE", "state": "relaxed", "delta_e_f_mev_per_atom": 450, "e_tot_ev_per_atom": -3.21, "dos_at_fermi_per_ev_cell": 3.865, "lattice": [[-1.009, -1.520, 2.334], [2.739, -0.988, 0.541], [1.459, 6.817, 5.069]], "species": ["Cd", "Cd", "Mg", "Os"], "frac_coords": [[0.000, 0.000, 0.981], [0.000, 0.000, 0.519], [0.500, 0.500, 0.250], [0.500, 0.500, 0.750]]}


{"formula": "Mg2CdOs", "functional": "PBE", "state": "relaxed", "delta_e_f_mev_per_atom": 611, "e_tot_ev_per_atom": -3.22, "dos_at_fermi_per_ev_cell": 3.299, "lattice": [[4.062, 0.000, 0.000], [0.000, 4.062, 0.000], [2.031, 2.031, 9.524]], "species": ["Mg", "Mg", "Mg", "Mg", "Os", "Os", "Cd", "Cd"], "frac_coords": [[0.649, 0.125, 0.250], [0.101, 0.625, 0.250], [0.375, 0.351, 0.750], [0.875, 0.899, 0.750], [0.000, 0.000, 0.000], [0.750, 0.250, 0.500], [0.500, 0.500, 0.000], [0.250, 0.750, 0.500]]}


{"formula": "MgCdOs3", "functional": "PBE", "state": "relaxed", "de_polymorph_ev_per_atom": 0.000, "delta_e_f_mev_per_atom": 2230, "e_tot_ev_per_atom": -5.01, "dos_at_fermi_per_ev_cell": 6.355, "lattice": [[4.523, 0.000, 0.000], [0.000, 4.523, 0.000], [0.000, 0.000, 4.523]], "species": ["Mg", "Os", "Os", "Os", "Cd"], "frac_coords": [[0.000, 0.000, 0.000], [0.000, 0.500, 0.000], [0.000, 0.000, 0.500], [0.500, 0.000, 0.000], [0.500, 0.500, 0.500]]}


{"formula": "MgCd2Os", "functional": "PBE", "state": "relaxed", "delta_e_f_mev_per_atom": 349, "e_tot_ev_per_atom": -3.31, "dos_at_fermi_per_ev_cell": 3.324, "lattice": [[-1.056, -2.433, -1.142], [0.683, -0.133, 2.803], [-9.175, 2.871, 2.371]], "species": ["Cd", "Cd", "Mg", "Os"], "frac_coords": [[0.000, 0.000, 0.980], [0.500, 0.500, 0.258], [0.000, 0.000, 0.523], [0.500, 0.500, 0.739]]}


{"formula": "Mg2CdOs", "functional": "PBE", "state": "relaxed", "delta_e_f_mev_per_atom": 171, "e_tot_ev_per_atom": -3.66, "dos_at_fermi_per_ev_cell": 1.246, "lattice": [[-1.288, 4.206, -1.983], [-2.625, -0.365, 0.932], [1.216, 2.448, 4.404]], "species": ["Cd", "Mg", "Mg", "Os"], "frac_coords": [[0.500, 0.625, 0.781], [0.000, 0.123, 0.963], [0.500, 0.126, 0.302], [0.000, 0.625, 0.455]]}


{"formula": "Mg2CdOs", "functional": "PBE", "state": "relaxed", "delta_e_f_mev_per_atom": 173, "e_tot_ev_per_atom": -3.66, "dos_at_fermi_per_ev_cell": 2.070, "lattice": [[-3.294, 2.264, 1.301], [-0.728, -2.082, 1.780], [2.629, 0.352, 6.043]], "species": ["Cd", "Mg", "Mg", "Os"], "frac_coords": [[0.500, 0.750, 0.750], [0.000, 0.974, 0.025], [0.000, 0.526, 0.475], [0.500, 0.250, 0.250]]}


{"formula": "MgCdOs2", "functional": "PBE", "state": "relaxed", "de_polymorph_ev_per_atom": 0.000, "delta_e_f_mev_per_atom": 118, "e_tot_ev_per_atom": -6.12, "dos_at_fermi_per_ev_cell": 1.988, "lattice": [[-1.697, 2.142, -0.899], [-1.194, -1.759, -1.937], [-5.690, -2.198, 5.503]], "species": ["Cd", "Mg", "Os", "Os"], "frac_coords": [[0.000, 0.000, 0.480], [0.500, 0.500, 0.783], [0.000, 0.000, 0.021], [0.500, 0.500, 0.217]]}


{"formula": "Mg2CdOs", "functional": "PBE", "state": "relaxed", "delta_e_f_mev_per_atom": 205, "e_tot_ev_per_atom": -3.63, "dos_at_fermi_per_ev_cell": 2.195, "lattice": [[6.636, 0.029, 0.090], [-2.661, 4.169, 0.046], [1.314, 0.809, 2.566]], "species": ["Cd", "Mg", "Mg", "Os"], "frac_coords": [[0.500, 0.500, 0.000], [0.000, 0.000, 0.000], [0.500, 0.000, 0.500], [0.000, 0.500, 0.500]]}


{"formula": "Mg2CdOs", "functional": "PBE", "state": "relaxed", "delta_e_f_mev_per_atom": 253, "e_tot_ev_per_atom": -3.58, "dos_at_fermi_per_ev_cell": 2.044, "lattice": [[-4.287, -0.749, 2.309], [-2.555, -2.858, 3.095], [1.226, 2.674, 4.475]], "species": ["Cd", "Mg", "Mg", "Os"], "frac_coords": [[0.250, 0.250, 0.250], [0.008, 0.008, 0.981], [0.492, 0.492, 0.519], [0.750, 0.750, 0.750]]}


{"formula": "MgCdOs2", "functional": "PBE", "state": "relaxed", "de_polymorph_ev_per_atom": 0.307, "delta_e_f_mev_per_atom": 425, "e_tot_ev_per_atom": -5.82, "dos_at_fermi_per_ev_cell": 3.369, "lattice": [[4.906, -0.005, 0.005], [4.081, 2.724, 0.005], [0.803, 0.243, 4.852]], "species": ["Cd", "Mg", "Os", "Os"], "frac_coords": [[0.750, 0.750, 0.750], [0.250, 0.250, 0.250], [0.997, 0.997, 0.027], [0.503, 0.503, 0.473]]}


{"formula": "MgCd2Os", "functional": "PBE", "state": "relaxed", "delta_e_f_mev_per_atom": 317, "e_tot_ev_per_atom": -3.35, "dos_at_fermi_per_ev_cell": 3.223, "lattice": [[2.947, 0.000, 0.000], [0.000, 2.947, 0.000], [0.000, 0.000, 8.699]], "species": ["Cd", "Cd", "Mg", "Os"], "frac_coords": [[0.000, 0.000, 0.971], [0.500, 0.500, 0.254], [0.000, 0.000, 0.534], [0.500, 0.500, 0.741]]}


{"formula": "MgCd2Os", "functional": "PBE", "state": "relaxed", "delta_e_f_mev_per_atom": 324, "e_tot_ev_per_atom": -3.34, "dos_at_fermi_per_ev_cell": 2.190, "lattice": [[5.224, 0.001, 0.000], [2.067, 4.798, 0.000], [-3.646, -2.400, 2.872]], "species": ["Cd", "Cd", "Mg", "Os"], "frac_coords": [[0.000, 0.000, 0.000], [0.500, 0.500, 0.000], [0.250, 0.750, 0.500], [0.750, 0.250, 0.500]]}


{"formula": "Mg2CdOs", "functional": "PBE", "state": "relaxed", "delta_e_f_mev_per_atom": 309, "e_tot_ev_per_atom": -3.52, "dos_at_fermi_per_ev_cell": 2.815, "lattice": [[3.414, 0.000, 0.000], [0.000, 3.414, 0.000], [0.000, 0.000, 6.214]], "species": ["Cd", "Mg", "Mg", "Os"], "frac_coords": [[0.500, 0.500, 0.733], [0.000, 0.000, 0.004], [0.500, 0.500, 0.284], [0.000, 0.000, 0.479]]}


{"formula": "MgCd2Os", "functional": "PBE", "state": "relaxed", "delta_e_f_mev_per_atom": 331, "e_tot_ev_per_atom": -3.33, "dos_at_fermi_per_ev_cell": 1.742, "lattice": [[-2.405, 2.841, 3.491], [-1.989, 0.281, 4.691], [4.261, 1.851, 2.471]], "species": ["Cd", "Cd", "Mg", "Os"], "frac_coords": [[0.992, 0.992, 0.005], [0.748, 0.748, 0.755], [0.510, 0.510, 0.474], [0.249, 0.249, 0.266]]}


{"formula": "MgCdOs2", "functional": "PBE", "state": "relaxed", "de_polymorph_ev_per_atom": 0.985, "delta_e_f_mev_per_atom": 1103, "e_tot_ev_per_atom": -5.14, "dos_at_fermi_per_ev_cell": 7.635, "lattice": [[7.461, 0.000, 0.000], [0.000, 7.461, 0.000], [3.730, 3.730, 2.575]], "species": ["Mg", "Mg", "Os", "Os", "Os", "Os", "Cd", "Cd"], "frac_coords": [[0.500, 0.500, 0.000], [0.250, 0.750, 0.500], [0.616, 0.125, 0.250], [0.134, 0.625, 0.250], [0.375, 0.384, 0.750], [0.875, 0.866, 0.750], [0.000, 0.000, 0.000], [0.750, 0.250, 0.500]]}


{"formula": "MgCdTc2Os", "functional": "PBE", "state": "relaxed", "delta_e_f_mev_per_atom": 2418, "e_tot_ev_per_atom": -4.48, "dos_at_fermi_per_ev_cell": 5.776, "lattice": [[4.860, 0.000, 0.000], [0.000, 4.539, 0.000], [0.000, 0.000, 4.860]], "species": ["Mg", "Os", "Tc", "Tc", "Cd"], "frac_coords": [[0.000, 0.500, 0.000], [0.500, 0.500, 0.500], [0.000, 0.000, 0.500], [0.500, 0.000, 0.000], [0.000, 0.000, 0.000]]}


{"formula": "Mg2CdTcOs", "functional": "PBE", "state": "relaxed", "delta_e_f_mev_per_atom": 792, "e_tot_ev_per_atom": -4.35, "dos_at_fermi_per_ev_cell": 3.719, "lattice": [[4.993, 0.000, 0.000], [0.000, 4.690, 0.000], [0.000, 0.000, 4.993]], "species": ["Mg", "Mg", "Os", "Tc", "Cd"], "frac_coords": [[0.000, 0.000, 0.500], [0.500, 0.000, 0.000], [0.000, 0.000, 0.000], [0.000, 0.500, 0.000], [0.500, 0.500, 0.500]]}


{"formula": "MgTlCdOs2", "functional": "PBE", "state": "relaxed", "delta_e_f_mev_per_atom": 1791, "e_tot_ev_per_atom": -3.68, "dos_at_fermi_per_ev_cell": 5.524, "lattice": [[-2.629, 2.152, -3.256], [-3.245, -3.540, 0.281], [-2.270, 2.350, 3.386]], "species": ["Tl", "Os", "Os", "Mg", "Cd"], "frac_coords": [[0.500, 0.500, 0.500], [0.000, 0.000, 0.500], [0.500, 0.000, 0.000], [0.000, 0.000, 0.000], [0.000, 0.500, 0.000]]}


{"formula": "MgZnCdOs2", "functional": "PBE", "state": "relaxed", "delta_e_f_mev_per_atom": 2106, "e_tot_ev_per_atom": -3.14, "dos_at_fermi_per_ev_cell": 5.330, "lattice": [[-0.568, 0.440, -4.864], [4.381, -1.687, -0.665], [-1.793, -4.574, -0.204]], "species": ["Zn", "Os", "Os", "Mg", "Cd"], "frac_coords": [[0.500, 0.500, 0.500], [0.000, 0.000, 0.500], [0.500, 0.000, 0.000], [0.000, 0.500, 0.000], [0.000, 0.000, 0.000]]}


{"formula": "Mg2CdP", "functional": "PBE", "state": "relaxed", "de_polymorph_ev_per_atom": 0.032, "delta_e_f_mev_per_atom": -220, "e_tot_ev_per_atom": -2.60, "dos_at_fermi_per_ev_cell": 0.726, "lattice": [[3.696, 0.000, 0.000], [0.000, 3.880, -0.007], [0.000, 1.931, 5.809]], "species": ["Cd", "Mg", "Mg", "P"], "frac_coords": [[0.500, 0.555, 0.767], [0.000, 0.947, 0.979], [0.500, 0.268, 0.340], [0.000, 0.730, 0.414]]}


{"formula": "Mg2CdP", "functional": "PBE", "state": "relaxed", "de_polymorph_ev_per_atom": 0.103, "delta_e_f_mev_per_atom": -150, "e_tot_ev_per_atom": -2.53, "dos_at_fermi_per_ev_cell": 1.589, "lattice": [[3.363, 0.000, 0.000], [0.000, 3.511, 0.000], [0.000, 0.000, 6.561]], "species": ["Cd", "Mg", "Mg", "P"], "frac_coords": [[0.500, 0.500, 0.750], [0.000, 0.000, 0.033], [0.000, 0.000, 0.467], [0.500, 0.500, 0.250]]}


{"formula": "Mg2CdP2", "functional": "PBE", "state": "relaxed", "de_polymorph_ev_per_atom": 0.000, "delta_e_f_mev_per_atom": -298, "e_tot_ev_per_atom": -3.28, "dos_at_fermi_per_ev_cell": 0.081, "lattice": [[4.672, 0.000, 0.000], [0.000, 4.672, 0.000], [2.336, 2.336, 4.697]], "species": ["P", "P", "Mg", "Mg", "Cd"], "frac_coords": [[0.381, 0.381, 0.237], [0.619, 0.619, 0.763], [0.750, 0.250, 0.500], [0.250, 0.750, 0.500], [0.000, 0.000, 0.000]]}


{"formula": "Mg2CdP", "functional": "PBE", "state": "relaxed", "de_polymorph_ev_per_atom": 0.196, "delta_e_f_mev_per_atom": -57, "e_tot_ev_per_atom": -2.44, "dos_at_fermi_per_ev_cell": 2.153, "lattice": [[-2.727, -2.387, -0.924], [0.692, -1.987, 3.092], [-3.876, 3.277, 2.974]], "species": ["Cd", "Mg", "Mg", "P"], "frac_coords": [[0.500, 0.500, 0.775], [0.000, 0.000, 0.989], [0.500, 0.500, 0.303], [0.000, 0.000, 0.434]]}